Compound: MnAg4Pt
Source: Alexandria via LeMat-Bulk
Functional: PBE
Structure: optimized geometry

a = 5.3556 Å, b = 5.3556 Å, c = 5.3556 Å
α = 60.00°, β = 60.00°, γ = 60.00°
Positions (direct):
Ag1 0.8752 0.3749 0.3749
Ag2 0.3749 0.8752 0.3749
Ag3 0.3749 0.3749 0.3749
Ag4 0.3749 0.3749 0.8752
Pt1 0.0000 0.0000 0.0000
Mn1 0.7500 0.7500 0.7500

Values from the calculation:
Electronic total energy (eV per cell): -24.74
ΔH_f (0 K) (eV per atom): 0.312
V (A^3/atom): 18.103
DOS(E_F) (states/eV per atom): 0.336

***

Compound: YCo2H
Source: Alexandria via LeMat-Bulk
Functional: PBE
Structure: optimized geometry

a = 5.2217 Å, b = 5.2217 Å, c = 5.2220 Å
α = 60.00°, β = 60.00°, γ = 90.00°
Positions (direct):
Y1 0.7500 0.2500 0.5000
Y2 0.0000 0.0000 0.0000
H1 0.2500 0.7500 0.5000
H2 0.5000 0.5000 0.0000
Co1 0.3749 0.1250 0.2500
Co2 0.3751 0.6250 0.2500
Co3 0.3750 0.6251 0.7500
Co4 0.8750 0.6249 0.7500

Values from the calculation:
Excess energy over the best structure of this formula in the dataset (meV per atom): 0
Electronic total energy (eV per cell): -49.35
V (A^3/atom): 12.586
DOS(E_F) (states/eV per atom): 1.467

***

Compound: SmFe2H8
Source: Alexandria via LeMat-Bulk
Functional: PBE
Structure: optimized geometry

a = 3.5955 Å, b = 4.7165 Å, c = 4.7165 Å
α = 115.41°, β = 90.77°, γ = 90.77°
Positions (direct):
H1 0.7663 0.4674 0.4674
H2 0.0093 0.0334 0.3282
H3 0.5000 0.3045 0.6955
H4 0.0093 0.3282 0.0334
H5 0.9907 0.9666 0.6718
H6 0.9907 0.6718 0.9666
H7 0.2337 0.5326 0.5326
H8 0.5000 0.6955 0.3045
Sm1 0.5000 0.0000 0.0000
Fe1 0.0000 0.3231 0.6769
Fe2 0.0000 0.6769 0.3231

Values from the calculation:
Electronic total energy (eV per cell): -50.06
V (A^3/atom): 6.566
DOS(E_F) (states/eV per atom): 0.392

***

Compound: IrPdPb2O6
Source: Alexandria via LeMat-Bulk
Functional: PBE
Structure: optimized geometry

a = 4.4640 Å, b = 5.6640 Å, c = 5.6640 Å
α = 90.00°, β = 90.00°, γ = 90.00°
Positions (direct):
O1 0.1809 0.0000 0.0000
O2 0.7062 0.2347 0.2347
O3 0.1454 0.5000 0.5000
O4 0.7062 0.2347 0.7653
O5 0.7062 0.7653 0.2347
O6 0.7062 0.7653 0.7653
Pb1 0.0432 0.5000 0.0000
Pb2 0.0432 0.0000 0.5000
Pd1 0.6180 0.5000 0.5000
Ir1 0.5912 0.0000 0.0000

Values from the calculation:
Uncorrected formation energy (eV per atom): -0.64
Electronic total energy (eV per cell): -57.65
V (A^3/atom): 14.321
DOS(E_F) (states/eV per atom): 0.839

***

Compound: ZrTiPd3
Source: Alexandria via LeMat-Bulk
Functional: PBE
Structure: optimized geometry

a = 4.6320 Å, b = 4.6320 Å, c = 4.6320 Å
α = 90.00°, β = 90.00°, γ = 90.00°
Positions (direct):
Pd1 0.0000 0.0000 0.5000
Pd2 0.0000 0.5000 0.0000
Pd3 0.5000 0.0000 0.0000
Ti1 0.0000 0.0000 0.0000
Zr1 0.5000 0.5000 0.5000

Values from the calculation:
Excess energy over the best structure of this formula in the dataset (meV per atom): 632
Electronic total energy (eV per cell): -31.01
ΔH_f (0 K) (eV per atom): 0.202
V (A^3/atom): 19.876
DOS(E_F) (states/eV per atom): 1.139

***

Compound: CrAgOs2
Source: Alexandria via LeMat-Bulk
Functional: PBE
Structure: optimized geometry

a = 2.6711 Å, b = 2.6711 Å, c = 9.3129 Å
α = 90.00°, β = 90.00°, γ = 116.85°
Positions (direct):
Ag1 0.5000 0.5000 0.2500
Cr1 0.5000 0.5000 0.7500
Os1 0.0000 0.0000 0.5267
Os2 0.0000 0.0000 0.9733

Values from the calculation:
Excess energy over the best structure of this formula in the dataset (meV per atom): 197
Electronic total energy (eV per cell): -33.05
ΔH_f (0 K) (eV per atom): 0.472
V (A^3/atom): 14.821
DOS(E_F) (states/eV per atom): 1.115

***

Compound: MnSnTeI2
Source: Alexandria via LeMat-Bulk
Functional: PBE
Structure: optimized geometry

a = 5.4633 Å, b = 5.4633 Å, c = 5.5722 Å
α = 90.00°, β = 90.00°, γ = 90.00°
Positions (direct):
I1 0.0000 0.5000 0.0000
I2 0.5000 0.0000 0.0000
Mn1 0.0000 0.0000 0.0000
Sn1 0.5000 0.5000 0.5000
Te1 0.0000 0.0000 0.5000

Values from the calculation:
Excess energy over the best structure of this formula in the dataset (meV per atom): 0
Uncorrected formation energy (eV per atom): 0.07
Electronic total energy (eV per cell): -19.08
V (A^3/atom): 33.264
DOS(E_F) (states/eV per atom): 0.503

***

Compound: BeZnSb4
Source: Alexandria via LeMat-Bulk
Functional: PBE
Structure: optimized geometry

a = 6.1675 Å, b = 6.1675 Å, c = 6.1675 Å
α = 60.00°, β = 60.00°, γ = 60.00°
Positions (direct):
Sb1 0.3751 0.8748 0.3751
Sb2 0.3751 0.3751 0.8748
Sb3 0.8748 0.3751 0.3751
Sb4 0.3751 0.3751 0.3751
Be1 0.0000 0.0000 0.0000
Zn1 0.7500 0.7500 0.7500

Values from the calculation:
Uncorrected formation energy (eV per atom): 0.74
Electronic total energy (eV per cell): -17.06
V (A^3/atom): 27.648
DOS(E_F) (states/eV per atom): 0.557

***

Compound: Ca2Ti2Cl
Source: Alexandria via LeMat-Bulk
Functional: PBE
Structure: optimized geometry

a = 8.9764 Å, b = 8.9764 Å, c = 3.5643 Å
α = 90.00°, β = 90.00°, γ = 90.00°
Positions (direct):
Ti1 0.5818 0.0818 0.0000
Ti2 0.4182 0.9182 0.0000
Ti3 0.0818 0.4182 0.0000
Ti4 0.9182 0.5818 0.0000
Cl1 0.5000 0.5000 0.0000
Cl2 0.0000 0.0000 0.0000
Ca1 0.7978 0.2978 0.5000
Ca2 0.7022 0.7978 0.5000
Ca3 0.2978 0.2022 0.5000
Ca4 0.2022 0.7022 0.5000

Values from the calculation:
Excess energy over the best structure of this formula in the dataset (meV per atom): 0
Uncorrected formation energy (eV per atom): 0.25
Electronic total energy (eV per cell): -40.82
V (A^3/atom): 28.720
DOS(E_F) (states/eV per atom): 1.212

***

Compound: KNb3V
Source: Alexandria via LeMat-Bulk
Functional: PBE
Structure: optimized geometry

a = 4.8630 Å, b = 4.8630 Å, c = 4.8630 Å
α = 90.00°, β = 90.00°, γ = 90.00°
Positions (direct):
Nb1 0.0000 0.5000 0.0000
Nb2 0.5000 0.0000 0.0000
Nb3 0.0000 0.0000 0.5000
K1 0.5000 0.5000 0.5000
V1 0.0000 0.0000 0.0000

Values from the calculation:
Excess energy over the best structure of this formula in the dataset (meV per atom): 0
Electronic total energy (eV per cell): -33.75
ΔH_f (0 K) (eV per atom): 1.334
V (A^3/atom): 23.000
DOS(E_F) (states/eV per atom): 1.801

***

Compound: Sr12Sb6N
Source: Alexandria via LeMat-Bulk
Functional: PBE
Structure: optimized geometry

a = 9.2364 Å, b = 9.2364 Å, c = 9.2364 Å
α = 98.67°, β = 98.67°, γ = 98.67°
Positions (direct):
Sr1 0.8143 0.5669 0.4260
Sr2 0.5740 0.1857 0.4331
Sr3 0.1857 0.4331 0.5740
Sr4 0.4260 0.8143 0.5669
Sr5 0.7057 0.9393 0.0194
Sr6 0.4331 0.5740 0.1857
Sr7 0.9393 0.0194 0.7057
Sr8 0.0194 0.7057 0.9393
Sr9 0.9806 0.2943 0.0607
Sr10 0.0607 0.9806 0.2943
Sr11 0.2943 0.0607 0.9806
Sr12 0.5669 0.4260 0.8143
Sb1 0.6307 0.2947 0.1256
Sb2 0.7053 0.8744 0.3693
Sb3 0.1256 0.6307 0.2947
Sb4 0.8744 0.3693 0.7053
Sb5 0.3693 0.7053 0.8744
Sb6 0.2947 0.1256 0.6307
N1 0.0000 0.0000 0.0000

Values from the calculation:
Uncorrected formation energy (eV per atom): -0.83
Electronic total energy (eV per cell): -68.94
V (A^3/atom): 39.886
DOS(E_F) (states/eV per atom): 0.370

***

Compound: YThMg2
Source: Alexandria via LeMat-Bulk
Functional: PBE
Structure: optimized geometry

a = 3.7846 Å, b = 3.7846 Å, c = 7.7745 Å
α = 90.00°, β = 90.00°, γ = 90.00°
Positions (direct):
Mg1 0.0000 0.0000 0.7393
Mg2 0.0000 0.0000 0.2607
Th1 0.5000 0.5000 0.0000
Y1 0.5000 0.5000 0.5000

Values from the calculation:
Electronic total energy (eV per cell): -17.10
ΔH_f (0 K) (eV per atom): -0.006
V (A^3/atom): 27.839
DOS(E_F) (states/eV per atom): 1.178

***

Compound: AlSb2Pt
Source: Alexandria via LeMat-Bulk
Functional: PBE
Structure: optimized geometry

a = 4.4736 Å, b = 4.7295 Å, c = 4.7334 Å
α = 67.84°, β = 90.00°, γ = 90.00°
Positions (direct):
Pt1 0.5000 0.7070 0.7073
Al1 0.0000 0.5521 0.5517
Sb1 0.5000 0.3265 0.3264
Sb2 0.0000 0.9144 0.9145

Values from the calculation:
Uncorrected formation energy (eV per atom): -0.30
Electronic total energy (eV per cell): -19.22
V (A^3/atom): 23.187
DOS(E_F) (states/eV per atom): 0.331

***

Compound: Pu3Ag2Pd4
Source: Alexandria via LeMat-Bulk
Functional: PBE
Structure: optimized geometry

a = 4.6642 Å, b = 5.2952 Å, c = 8.6376 Å
α = 94.71°, β = 90.00°, γ = 116.13°
Positions (direct):
Pu1 0.0000 0.0000 0.0000
Pu2 0.6205 0.2411 0.3957
Pu3 0.3795 0.7589 0.6043
Ag1 0.3004 0.6007 0.2334
Ag2 0.6996 0.3993 0.7666
Pd1 0.0788 0.1577 0.6417
Pd2 0.7008 0.4016 0.0869
Pd3 0.2992 0.5984 0.9131
Pd4 0.9212 0.8423 0.3583

Values from the calculation:
Electronic total energy (eV per cell): -71.98
ΔH_f (0 K) (eV per atom): -0.279
V (A^3/atom): 21.192
DOS(E_F) (states/eV per atom): 4.024

***

Compound: ScTl2H2
Source: Alexandria via LeMat-Bulk
Functional: PBE
Structure: optimized geometry

a = 5.2564 Å, b = 5.2564 Å, c = 4.9767 Å
α = 58.12°, β = 58.12°, γ = 90.00°
Positions (direct):
H1 0.4423 0.4423 0.1154
H2 0.5577 0.5577 0.8846
Sc1 0.0000 0.0000 0.0000
Tl1 0.7500 0.2500 0.5000
Tl2 0.2500 0.7500 0.5000

Values from the calculation:
Excess energy over the best structure of this formula in the dataset (meV per atom): 134
Electronic total energy (eV per cell): -16.93
V (A^3/atom): 18.288
DOS(E_F) (states/eV per atom): 0.498

***

Compound: CsPuBr3
Source: Alexandria via LeMat-Bulk
Functional: PBE
Structure: optimized geometry

a = 6.8049 Å, b = 14.2435 Å, c = 14.2435 Å
α = 120.00°, β = 90.00°, γ = 90.00°
Positions (direct):
Br1 0.7245 0.1722 0.0000
Br2 0.1301 0.6666 0.1610
Br3 0.2245 0.1722 0.1722
Br4 0.6301 0.1610 0.4944
Br5 0.6301 0.6666 0.5056
Br6 0.1301 0.3334 0.4944
Br7 0.1301 0.8390 0.5056
Br8 0.2245 0.0000 0.8278
Br9 0.1301 0.5056 0.8390
Br10 0.2245 0.8278 0.0000
Br11 0.1301 0.1610 0.6666
Br12 0.6301 0.4944 0.1610
Br13 0.7245 0.8278 0.8278
Br14 0.6301 0.5056 0.6666
Br15 0.1301 0.4944 0.3334
Br16 0.6301 0.3334 0.8390
Br17 0.6301 0.8390 0.3334
Br18 0.7245 0.0000 0.1722
Pu1 0.8804 0.6667 0.3333
Pu2 0.9740 0.0000 0.0000
Pu3 0.3804 0.6667 0.3333
Pu4 0.3804 0.3333 0.6667
Pu5 0.8804 0.3333 0.6667
Pu6 0.4740 0.0000 0.0000
Cs1 0.6616 0.3361 0.3361
Cs2 0.1616 0.3361 0.0000
Cs3 0.1616 0.0000 0.3361
Cs4 0.6616 0.0000 0.6639
Cs5 0.6616 0.6639 0.0000
Cs6 0.1616 0.6639 0.6639

Values from the calculation:
Excess energy over the best structure of this formula in the dataset (meV per atom): 0
Uncorrected formation energy (eV per atom): -1.59
Electronic total energy (eV per cell): -168.93
V (A^3/atom): 39.853
DOS(E_F) (states/eV per atom): 3.052

***

Compound: PmNpAgSb
Source: Alexandria via LeMat-Bulk
Functional: PBE
Structure: optimized geometry

a = 5.3136 Å, b = 5.3136 Å, c = 5.3136 Å
α = 60.00°, β = 60.00°, γ = 60.00°
Positions (direct):
Np1 0.5000 0.5000 0.5000
Ag1 0.2500 0.2500 0.2500
Pm1 0.0000 0.0000 0.0000
Sb1 0.7500 0.7500 0.7500

Values from the calculation:
Uncorrected formation energy (eV per atom): -0.20
Electronic total energy (eV per cell): -25.45
V (A^3/atom): 26.521
DOS(E_F) (states/eV per atom): 1.938

***

Compound: Gd2SnPt
Source: Alexandria via LeMat-Bulk
Functional: PBE
Structure: optimized geometry

a = 3.5431 Å, b = 3.5431 Å, c = 7.8626 Å
α = 90.00°, β = 90.00°, γ = 90.00°
Positions (direct):
Gd1 0.0000 0.0000 0.2198
Gd2 0.0000 0.0000 0.7802
Sn1 0.5000 0.5000 0.5000
Pt1 0.5000 0.5000 0.0000

Values from the calculation:
Electronic total energy (eV per cell): -41.90
ΔH_f (0 K) (eV per atom): -0.925
V (A^3/atom): 24.676
DOS(E_F) (states/eV per atom): 0.727

***

Compound: BaMgZnN2
Source: Alexandria via LeMat-Bulk
Functional: PBE
Structure: optimized geometry

a = 4.4087 Å, b = 4.8025 Å, c = 4.4087 Å
α = 90.00°, β = 90.00°, γ = 90.00°
Positions (direct):
N1 0.0000 0.0000 0.5000
N2 0.5000 0.0000 0.0000
Mg1 0.0000 0.0000 0.0000
Ba1 0.5000 0.5000 0.5000
Zn1 0.0000 0.5000 0.0000

Values from the calculation:
Uncorrected formation energy (eV per atom): 0.59
Electronic total energy (eV per cell): -18.47
V (A^3/atom): 18.669
DOS(E_F) (states/eV per atom): 0.477

***

Compound: HfZnIr
Source: Alexandria via LeMat-Bulk
Functional: PBE
Structure: optimized geometry

a = 4.8924 Å, b = 7.7443 Å, c = 6.7957 Å
α = 83.47°, β = 68.90°, γ = 71.59°
Positions (direct):
Ir1 0.3518 0.6197 0.6767
Ir2 0.6482 0.3803 0.3233
Ir3 0.0285 0.6197 0.3233
Ir4 0.9715 0.3803 0.6767
Hf1 0.7674 0.7612 0.7040
Hf2 0.2326 0.2388 0.2960
Hf3 0.5286 0.2388 0.7040
Hf4 0.4714 0.7612 0.2960
Zn1 0.0901 0.8198 0.0000
Zn2 0.9099 0.1802 0.0000
Zn3 0.8231 0.0000 0.3538
Zn4 0.1769 0.0000 0.6462

Values from the calculation:
Electronic total energy (eV per cell): -83.73
ΔH_f (0 K) (eV per atom): -0.282
V (A^3/atom): 18.993
DOS(E_F) (states/eV per atom): 0.513

***

Compound: La2MgScH
Source: Alexandria via LeMat-Bulk
Functional: PBE
Structure: optimized geometry

a = 5.0994 Å, b = 5.0994 Å, c = 4.7054 Å
α = 90.00°, β = 90.00°, γ = 90.00°
Positions (direct):
Sc1 0.0000 0.0000 0.5000
H1 0.0000 0.0000 0.0000
La1 0.5000 0.0000 0.0000
La2 0.0000 0.5000 0.0000
Mg1 0.5000 0.5000 0.5000

Values from the calculation:
Excess energy over the best structure of this formula in the dataset (meV per atom): 11
Electronic total energy (eV per cell): -21.83
V (A^3/atom): 24.471
DOS(E_F) (states/eV per atom): 1.315

***

Compound: Ac3GaSi2Pd9
Source: Alexandria via LeMat-Bulk
Functional: PBE
Structure: optimized geometry

a = 6.4650 Å, b = 6.4650 Å, c = 8.9479 Å
α = 90.00°, β = 90.00°, γ = 120.00°
Positions (direct):
Pd1 0.1473 0.2946 0.2892
Pd2 0.8527 0.1473 0.7108
Pd3 0.5000 0.0000 0.0000
Pd4 0.7054 0.8527 0.2892
Pd5 0.5000 0.5000 0.0000
Pd6 0.1473 0.8527 0.2892
Pd7 0.0000 0.5000 0.0000
Pd8 0.8527 0.7054 0.7108
Pd9 0.2946 0.1473 0.7108
Ac1 0.3333 0.6667 0.6616
Ac2 0.0000 0.0000 0.0000
Ac3 0.6667 0.3333 0.3384
Si1 0.6667 0.3333 0.8239
Si2 0.3333 0.6667 0.1761
Ga1 0.0000 0.0000 0.5000

Values from the calculation:
Uncorrected formation energy (eV per atom): -0.72
Electronic total energy (eV per cell): -83.77
V (A^3/atom): 21.592
DOS(E_F) (states/eV per atom): 0.388

***

Compound: MnRu2Rh
Source: Alexandria via LeMat-Bulk
Functional: PBE
Structure: optimized geometry

a = 4.2535 Å, b = 4.2535 Å, c = 4.2535 Å
α = 60.00°, β = 60.00°, γ = 60.00°
Positions (direct):
Mn1 0.0000 0.0000 0.0000
Ru1 0.2500 0.2500 0.2500
Ru2 0.7500 0.7500 0.7500
Rh1 0.5000 0.5000 0.5000

Values from the calculation:
Electronic total energy (eV per cell): -33.15
ΔH_f (0 K) (eV per atom): 0.481
V (A^3/atom): 13.604
DOS(E_F) (states/eV per atom): 1.568

***

Compound: K4Na2F
Source: Alexandria via LeMat-Bulk
Functional: PBE
Structure: optimized geometry

a = 5.6094 Å, b = 5.6094 Å, c = 10.9696 Å
α = 75.19°, β = 75.19°, γ = 90.00°
Positions (direct):
K1 0.0000 0.5000 0.0000
K2 0.1409 0.1409 0.7182
K3 0.5000 0.0000 0.0000
K4 0.8591 0.8591 0.2818
Na1 0.6679 0.6679 0.6643
Na2 0.3321 0.3321 0.3357
F1 0.0000 0.0000 0.0000

Values from the calculation:
Uncorrected formation energy (eV per atom): -0.68
Electronic total energy (eV per cell): -13.66
V (A^3/atom): 45.973
DOS(E_F) (states/eV per atom): 0.580